1.
{
  "formula": "Pr7Ho2Sc2",
  "functional": "PBE",
  "state": "optimized geometry",
  "ef_ev_per_atom": 0.1441,
  "lattice_angstrom": [[-1.973, -3.959, 4.267], [4.812, 1.277, 6.285], [-6.192, 3.729, 3.470]],
  "species": ["Pr", "Ho", "Pr", "Pr", "Ho", "Pr", "Pr", "Sc", "Pr", "Sc", "Pr"],
  "frac_coords": [[0.000, 0.000, 0.000], [0.584, 0.788, 0.788], [0.808, 0.420, 0.945], [0.795, 0.424, 0.424], [0.416, 0.212, 0.212], [0.205, 0.576, 0.576], [0.192, 0.580, 0.055], [0.500, 0.778, 0.222], [0.192, 0.055, 0.580], [0.500, 0.222, 0.778], [0.808, 0.945, 0.420]]
}

2.
{
  "formula": "PrHo2ScSe4",
  "functional": "PBE",
  "state": "optimized geometry",
  "formation_energy_uncorrected_ev_per_atom": -1.69,
  "lattice_angstrom": [[-1.895, -3.064, -1.781], [5.539, -4.291, 1.490], [-4.568, -0.272, 5.330]],
  "species": ["Pr", "Ho", "Se", "Se", "Sc", "Se", "Se", "Ho"],
  "frac_coords": [[0.500, 0.500, 0.000], [0.500, 0.000, 0.500], [0.000, 0.234, 0.742], [0.000, 0.766, 0.258], [0.000, 0.000, 0.000], [0.500, 0.764, 0.753], [0.500, 0.236, 0.247], [0.000, 0.500, 0.500]]
}

3.
{
  "formula": "Pr3Ho3ScSe8",
  "functional": "PBE",
  "state": "optimized geometry",
  "formation_energy_uncorrected_ev_per_atom": -1.82,
  "lattice_angstrom": [[8.198, 0.000, 0.000], [-4.099, 7.101, -0.025], [0.000, -4.710, 6.866]],
  "species": ["Se", "Ho", "Se", "Pr", "Se", "Se", "Se", "Se", "Se", "Sc", "Pr", "Ho", "Ho", "Se", "Pr"],
  "frac_coords": [[0.758, 0.012, 0.270], [0.500, 0.500, 0.500], [0.242, 0.483, 0.730], [0.000, 0.500, 0.000], [0.758, 0.517, 0.270], [0.747, 0.988, 0.730], [0.253, 0.012, 0.270], [0.744, 0.488, 0.732], [0.256, 0.512, 0.268], [0.000, 0.000, 0.500], [0.500, 0.500, 0.000], [0.000, 0.500, 0.500], [0.500, 0.000, 0.500], [0.242, 0.988, 0.730], [0.000, 0.000, 0.000]]
}

4.
{
  "formula": "PrHoSc2Se4",
  "functional": "PBE",
  "state": "optimized geometry",
  "formation_energy_uncorrected_ev_per_atom": -1.67,
  "lattice_angstrom": [[3.965, 0.000, 0.000], [0.000, 7.044, -0.199], [0.000, 2.422, 6.517]],
  "species": ["Se", "Pr", "Ho", "Sc", "Se", "Sc", "Se", "Se"],
  "frac_coords": [[0.500, 0.231, 0.748], [0.500, 0.500, 0.000], [0.000, 0.500, 0.500], [0.000, 0.000, 0.000], [0.500, 0.769, 0.252], [0.500, 0.000, 0.500], [0.000, 0.776, 0.733], [0.000, 0.224, 0.267]]
}

5.
{
  "formula": "Pr3HoSc2Se6",
  "functional": "PBE",
  "state": "optimized geometry",
  "formation_energy_uncorrected_ev_per_atom": -1.73,
  "lattice_angstrom": [[-5.035, 3.080, 3.780], [5.334, -3.228, 3.201], [3.485, 5.946, -2.370]],
  "species": ["Se", "Se", "Pr", "Se", "Pr", "Se", "Sc", "Sc", "Se", "Se", "Pr", "Ho"],
  "frac_coords": [[0.731, 0.731, 0.220], [0.584, 0.926, 0.777], [0.163, 0.837, 0.500], [0.416, 0.074, 0.223], [0.500, 0.500, 0.500], [0.926, 0.584, 0.777], [0.334, 0.666, 0.000], [0.666, 0.334, 0.000], [0.269, 0.269, 0.780], [0.074, 0.416, 0.223], [0.837, 0.163, 0.500], [0.000, 0.000, 0.000]]
}

6.
{
  "formula": "Pr3HoSc3Se8",
  "functional": "PBE",
  "state": "optimized geometry",
  "formation_energy_uncorrected_ev_per_atom": -1.77,
  "lattice_angstrom": [[8.023, 0.000, 0.000], [-4.012, 6.950, -0.025], [0.000, -4.609, 6.792]],
  "species": ["Se", "Se", "Se", "Se", "Pr", "Pr", "Se", "Sc", "Pr", "Se", "Se", "Ho", "Sc", "Sc", "Se"],
  "frac_coords": [[0.728, 0.980, 0.731], [0.740, 0.479, 0.719], [0.260, 0.521, 0.281], [0.748, 0.020, 0.269], [0.000, 0.500, 0.000], [0.000, 0.000, 0.000], [0.272, 0.020, 0.269], [0.000, 0.500, 0.500], [0.500, 0.500, 0.000], [0.749, 0.497, 0.269], [0.252, 0.980, 0.731], [0.000, 0.000, 0.500], [0.500, 0.000, 0.500], [0.500, 0.500, 0.500], [0.251, 0.503, 0.731]]
}

7.
{
  "formula": "PrHo2ScSe6",
  "functional": "PBE",
  "state": "optimized geometry",
  "formation_energy_uncorrected_ev_per_atom": -1.78,
  "lattice_angstrom": [[7.175, 0.000, 0.001], [3.587, 6.214, 0.000], [3.587, 2.072, 6.437]],
  "species": ["Se", "Se", "Se", "Pr", "Sc", "Se", "Se", "Se", "Ho", "Ho"],
  "frac_coords": [[0.132, 0.396, 0.755], [0.227, 0.932, 0.246], [0.932, 0.594, 0.246], [0.813, 0.813, 0.562], [0.322, 0.322, 0.034], [0.717, 0.132, 0.755], [0.396, 0.717, 0.755], [0.594, 0.228, 0.246], [0.011, 0.011, 0.968], [0.517, 0.517, 0.448]]
}

8.
{
  "formula": "PrHoScSe3",
  "functional": "PBE",
  "state": "optimized geometry",
  "formation_energy_uncorrected_ev_per_atom": -1.57,
  "lattice_angstrom": [[4.072, 0.000, 0.000], [0.000, 8.400, -0.034], [0.000, -2.260, 9.011]],
  "species": ["Sc", "Se", "Ho", "Sc", "Se", "Ho", "Se", "Pr", "Se", "Se", "Se", "Pr"],
  "frac_coords": [[0.250, 0.101, 0.598], [0.250, 0.758, 0.508], [0.250, 0.658, 0.144], [0.750, 0.899, 0.402], [0.250, 0.565, 0.824], [0.750, 0.342, 0.856], [0.250, 0.103, 0.883], [0.750, 0.820, 0.780], [0.750, 0.242, 0.492], [0.750, 0.435, 0.176], [0.750, 0.897, 0.117], [0.250, 0.180, 0.220]]
}